[1]
Entry from Alexandria via LeMat-Bulk: a relaxed PuZn2Ga4 crystal (PBE).

Calculated values
raw total energy: -60.3 eV for the cell shown
total magnetization: 5.8 μB/f.u.
formation energy: -0.1654 eV per atom

Structure (CIF):
```
data_PuZn2Ga4
_chemical_formula_sum 'Pu2 Zn4 Ga8'
_space_group_name_H-M_alt 'C 1 2/m 1'
_space_group_IT_number 12
_space_group_name_Hall '-C 2y'
_cell_length_a 9.6227
_cell_length_b 6.4121
_cell_length_c 4.8171
_cell_angle_alpha 90.00
_cell_angle_beta 119.56
_cell_angle_gamma 90.00
loop_
_atom_site_label
_atom_site_type_symbol
_atom_site_fract_x
_atom_site_fract_y
_atom_site_fract_z
_atom_site_occupancy
Pu1 Pu 0.0000 0.0000 0.0000 1
Zn1 Zn 0.0342 0.5000 0.7906 1
Ga1 Ga 0.1930 0.2041 0.6853 1
```

---

[2]
Entry from Alexandria via LeMat-Bulk: a relaxed Pu3Zn8Ga3 crystal (PBE).

Calculated values
raw total energy: -129.5 eV for the cell shown
total magnetization: 17.1 μB/f.u.
formation energy: -0.1774 eV per atom

Structure (CIF):
```
data_Pu3Zn8Ga3
_chemical_formula_sum 'Pu6 Zn16 Ga6'
_space_group_name_H-M_alt 'I m m m'
_space_group_IT_number 71
_space_group_name_Hall '-I 2 2'
_cell_length_a 4.3894
_cell_length_b 9.4770
_cell_length_c 12.5589
_cell_angle_alpha 90.00
_cell_angle_beta 90.00
_cell_angle_gamma 90.00
loop_
_atom_site_label
_atom_site_type_symbol
_atom_site_fract_x
_atom_site_fract_y
_atom_site_fract_z
_atom_site_occupancy
Pu1 Pu 0.0000 0.0000 0.0000 1
Pu2 Pu 0.0000 0.0000 0.3067 1
Zn1 Zn 0.0000 0.2757 0.1418 1
Zn2 Zn 0.0000 0.3671 0.3378 1
Ga1 Ga 0.0000 0.2054 0.5000 1
Ga2 Ga 0.0000 0.5000 0.0000 1
```

---

[3]
Entry from Alexandria via LeMat-Bulk: a relaxed Pu2ZnGa5 crystal (PBE).

Calculated values
raw total energy: -188.9 eV for the cell shown
offset from the most stable computed form: 0.202 eV per formula unit
total magnetization: 11.6 μB/f.u.
formation energy: -0.2677 eV per atom

Structure (CIF):
```
data_Pu2ZnGa5
_chemical_formula_sum 'Pu8 Zn4 Ga20'
_space_group_name_H-M_alt 'C m c m'
_space_group_IT_number 63
_space_group_name_Hall '-C 2c 2'
_cell_length_a 4.3717
_cell_length_b 16.4647
_cell_length_c 8.9398
_cell_angle_alpha 90.00
_cell_angle_beta 90.00
_cell_angle_gamma 90.00
loop_
_atom_site_label
_atom_site_type_symbol
_atom_site_fract_x
_atom_site_fract_y
_atom_site_fract_z
_atom_site_occupancy
Pu1 Pu 0.0000 0.0000 0.0000 1
Pu2 Pu 0.0000 0.2018 0.2500 1
Zn1 Zn 0.0000 0.4429 0.7500 1
Ga1 Ga 0.0000 0.1900 0.6050 1
Ga2 Ga 0.0000 0.3553 0.5248 1
Ga3 Ga 0.0000 0.4096 0.2500 1
```

---

[4]
Entry from Alexandria via LeMat-Bulk: a relaxed Pu3Zn2Ga9 crystal (PBE).

Calculated values
raw total energy: -153.7 eV for the cell shown
total magnetization: 5.5 μB/f.u.
formation energy: -0.2916 eV per atom

Structure (CIF):
```
data_Pu3Zn2Ga9
_chemical_formula_sum 'Pu6 Zn4 Ga18'
_space_group_name_H-M_alt 'I m m m'
_space_group_IT_number 71
_space_group_name_Hall '-I 2 2'
_cell_length_a 4.2794
_cell_length_b 10.0114
_cell_length_c 12.5098
_cell_angle_alpha 90.00
_cell_angle_beta 90.00
_cell_angle_gamma 90.00
loop_
_atom_site_label
_atom_site_type_symbol
_atom_site_fract_x
_atom_site_fract_y
_atom_site_fract_z
_atom_site_occupancy
Pu1 Pu 0.0000 0.0000 0.0000 1
Pu2 Pu 0.0000 0.0000 0.3103 1
Zn1 Zn 0.0000 0.2030 0.5000 1
Ga1 Ga 0.0000 0.2764 0.1431 1
Ga2 Ga 0.0000 0.3718 0.3436 1
Ga3 Ga 0.0000 0.5000 0.0000 1
```

---

[5]
Entry from Alexandria via LeMat-Bulk: a relaxed PuZn2Ga crystal (PBE).

Calculated values
raw total energy: -82.0 eV for the cell shown
total magnetization: 5.4 μB/f.u.
formation energy: -0.1456 eV per atom

Structure (CIF):
```
data_PuZn2Ga
_chemical_formula_sum 'Pu4 Zn8 Ga4'
_space_group_name_H-M_alt 'F m -3 m'
_space_group_IT_number 225
_space_group_name_Hall '-F 4 2 3'
_cell_length_a 6.7036
_cell_length_b 6.7036
_cell_length_c 6.7036
_cell_angle_alpha 90.00
_cell_angle_beta 90.00
_cell_angle_gamma 90.00
loop_
_atom_site_label
_atom_site_type_symbol
_atom_site_fract_x
_atom_site_fract_y
_atom_site_fract_z
_atom_site_occupancy
Pu1 Pu 0.0000 0.0000 0.0000 1
Zn1 Zn 0.2500 0.2500 0.2500 1
Ga1 Ga 0.0000 0.0000 0.5000 1
```

---

[6]
Entry from Alexandria via LeMat-Bulk: a relaxed Pu4ZnGa3 crystal (PBE).

Calculated values
raw total energy: -69.7 eV for the cell shown
total magnetization: 21.9 μB/f.u.
formation energy: -0.2490 eV per atom

Structure (CIF):
```
data_Pu4ZnGa3
_chemical_formula_sum 'Pu4 Zn1 Ga3'
_space_group_name_H-M_alt 'P m m m'
_space_group_IT_number 47
_space_group_name_Hall '-P 2 2'
_cell_length_a 4.3498
_cell_length_b 4.4925
_cell_length_c 8.7013
_cell_angle_alpha 90.00
_cell_angle_beta 90.00
_cell_angle_gamma 90.00
loop_
_atom_site_label
_atom_site_type_symbol
_atom_site_fract_x
_atom_site_fract_y
_atom_site_fract_z
_atom_site_occupancy
Pu1 Pu 0.0000 0.0000 0.0000 1
Pu2 Pu 0.0000 0.0000 0.5000 1
Pu3 Pu 0.5000 0.0000 0.2494 1
Zn1 Zn 0.5000 0.5000 0.0000 1
Ga1 Ga 0.0000 0.5000 0.2489 1
Ga2 Ga 0.5000 0.5000 0.5000 1
```

---

> total magnetization of number 4 (Pu3Zn2Ga9)?

5.5 μB/f.u.

---

> Number 5 is which compound?

PuZn2Ga

---

> Which of these has the lowest formation energy?

Pu3Zn2Ga9